[1]
Below is a relaxed structure of Mg2AgPb, with properties calculated at the PBE-GGA level.

## Properties
ΔE_f ... -61 meV/atom
M_tot ... 0.00 Bohr magnetons per cell

Structure (CIF):
```
data_Mg2AgPb
_cell_length_a 3.645
_cell_length_b 3.645
_cell_length_c 6.933
_cell_angle_alpha 90.00
_cell_angle_beta 90.00
_cell_angle_gamma 90.00
_space_group_name_H-M_alt 'P 4 m m'
_space_group_IT_number 99
loop_
_space_group_symop_operation_xyz
'x,y,z'
'-y,x,z'
'-x,-y,z'
'y,-x,z'
'-x,y,z'
'y,x,z'
'x,-y,z'
'-y,-x,z'
loop_
_atom_site_label
_atom_site_type_symbol
_atom_site_fract_x
_atom_site_fract_y
_atom_site_fract_z
Mg1 Mg 0.000 0.000 0.000
Mg2 Mg 0.500 0.500 0.256
Ag1 Ag 0.500 0.500 0.829
Pb1 Pb 0.000 0.000 0.534
```

[2]
Below is a relaxed structure of Mg2Ag2Pb, with properties calculated at the PBE-GGA level.

## Properties
ΔE_f ... 11 meV/atom
ΔE to the lowest computed polymorph ... 130 meV per atom
M_tot ... 0.00 Bohr magnetons per cell

Structure (CIF):
```
data_Mg2Ag2Pb
_cell_length_a 4.254
_cell_length_b 4.254
_cell_length_c 12.741
_cell_angle_alpha 90.00
_cell_angle_beta 90.00
_cell_angle_gamma 90.00
_space_group_name_H-M_alt 'I 4/m m m'
_space_group_IT_number 139
_space_group_name_Hall '-I 4 2'
loop_
_atom_site_label
_atom_site_type_symbol
_atom_site_fract_x
_atom_site_fract_y
_atom_site_fract_z
Mg1 Mg 0.000 0.500 0.250
Ag1 Ag 0.000 0.000 0.109
Pb1 Pb 0.000 0.000 0.500
```

[3]
Below is a relaxed structure of Mg2Ag2Pb, with properties calculated at the PBE-GGA level.

## Properties
ΔE_f ... -119 meV/atom
ΔE to the lowest computed polymorph ... 0 meV per atom
M_tot ... 0.00 Bohr magnetons per cell

Structure (CIF):
```
data_Mg2Ag2Pb
_cell_length_a 8.015
_cell_length_b 8.015
_cell_length_c 3.342
_cell_angle_alpha 90.00
_cell_angle_beta 90.00
_cell_angle_gamma 90.00
_space_group_name_H-M_alt 'P 4/m b m'
_space_group_IT_number 127
_space_group_name_Hall '-P 4 2ab'
loop_
_atom_site_label
_atom_site_type_symbol
_atom_site_fract_x
_atom_site_fract_y
_atom_site_fract_z
Mg1 Mg 0.165 0.335 0.000
Ag1 Ag 0.128 0.628 0.500
Pb1 Pb 0.000 0.000 0.500
```

[4]
Below is a relaxed structure of Mg12Ag3Pb5, with properties calculated at the PBE-GGA level.

## Properties
ΔE_f ... 218 meV/atom
M_tot ... 0.00 Bohr magnetons per cell

Structure (CIF):
```
data_Mg12Ag3Pb5
_cell_length_a 16.733
_cell_length_b 16.733
_cell_length_c 16.733
_cell_angle_alpha 90.00
_cell_angle_beta 90.00
_cell_angle_gamma 90.00
_space_group_name_H-M_alt 'I a -3 d'
_space_group_IT_number 230
_space_group_name_Hall '-I 4bd 2c 3'
loop_
_atom_site_label
_atom_site_type_symbol
_atom_site_fract_x
_atom_site_fract_y
_atom_site_fract_z
Mg1 Mg 0.012 0.084 0.651
Ag1 Ag 0.000 0.250 0.125
Pb1 Pb 0.000 0.000 0.000
Pb2 Pb 0.000 0.250 0.375
```

[5]
Below is a relaxed structure of Mg6AgPb3, with properties calculated at the PBE-GGA level.

## Properties
ΔE_f ... -65 meV/atom
ΔE to the lowest computed polymorph ... 0 meV per atom
M_tot ... 0.00 Bohr magnetons per cell

Structure (CIF):
```
data_Mg6AgPb3
_cell_length_a 9.515
_cell_length_b 4.771
_cell_length_c 10.758
_cell_angle_alpha 90.00
_cell_angle_beta 97.76
_cell_angle_gamma 90.00
_space_group_name_H-M_alt 'P 1 21/m 1'
_space_group_IT_number 11
loop_
_space_group_symop_operation_xyz
'x,y,z'
'-x,-y,-z'
'-x,y+1/2,-z'
'x,-y+1/2,z'
loop_
_atom_site_label
_atom_site_type_symbol
_atom_site_fract_x
_atom_site_fract_y
_atom_site_fract_z
Mg1 Mg 0.044 0.250 0.399
Mg2 Mg 0.151 0.750 0.192
Mg3 Mg 0.299 0.250 0.013
Mg4 Mg 0.346 0.250 0.299
Mg5 Mg 0.390 0.750 0.844
Mg6 Mg 0.449 0.250 0.601
Ag1 Ag 0.436 0.750 0.137
Pb1 Pb 0.062 0.750 0.901
Pb2 Pb 0.173 0.250 0.720
Pb3 Pb 0.252 0.750 0.483
```

[6]
Below is a relaxed structure of Mg4Ag2Pb, with properties calculated at the PBE-GGA level.

## Properties
ΔE_f ... -83 meV/atom
M_tot ... 0.00 Bohr magnetons per cell

Structure (CIF):
```
data_Mg4Ag2Pb
_cell_length_a 4.7977
_cell_length_b 4.7977
_cell_length_c 23.7432
_cell_angle_alpha 90.00
_cell_angle_beta 90.00
_cell_angle_gamma 120.00
_space_group_name_H-M_alt 'R -3 m'
_space_group_IT_number 166
_space_group_name_Hall '-R 3 2"'
loop_
_atom_site_label
_atom_site_type_symbol
_atom_site_fract_x
_atom_site_fract_y
_atom_site_fract_z
Mg1 Mg 0.0000 0.0000 0.1043
Mg2 Mg 0.0000 0.0000 0.3670
Ag1 Ag 0.0000 0.0000 0.2509
Pb1 Pb 0.0000 0.0000 0.5000
```

[7]
Below is a relaxed structure of Mg4AgPb, with properties calculated at the PBE-GGA level.

## Properties
ΔE_f ... -99 meV/atom
ΔE to the lowest computed polymorph ... 0 meV per atom
M_tot ... 0.00 Bohr magnetons per cell

Structure (CIF):
```
data_Mg4AgPb
_cell_length_a 8.188
_cell_length_b 12.570
_cell_length_c 5.699
_cell_angle_alpha 90.00
_cell_angle_beta 109.53
_cell_angle_gamma 90.00
_space_group_name_H-M_alt 'C 1 2/c 1'
_space_group_IT_number 15
loop_
_space_group_symop_operation_xyz
'x,y,z'
'-x,-y,-z'
'-x,y,-z+1/2'
'x,-y,z+1/2'
'x+1/2,y+1/2,z'
'-x+1/2,-y+1/2,-z'
'-x+1/2,y+1/2,-z+1/2'
'x+1/2,-y+1/2,z+1/2'
loop_
_atom_site_label
_atom_site_type_symbol
_atom_site_fract_x
_atom_site_fract_y
_atom_site_fract_z
Mg1 Mg 0.104 0.183 0.056
Mg2 Mg 0.213 0.398 0.365
Ag1 Ag 0.000 0.000 0.250
Pb1 Pb 0.000 0.389 0.750
```

[8]
Below is a relaxed structure of Mg3Ag2Pb, with properties calculated at the PBE-GGA level.

## Properties
ΔE_f ... -172 meV/atom
M_tot ... 0.00 Bohr magnetons per cell

Structure (CIF):
```
data_Mg3Ag2Pb
_cell_length_a 3.403
_cell_length_b 3.403
_cell_length_c 10.889
_cell_angle_alpha 90.00
_cell_angle_beta 90.00
_cell_angle_gamma 90.00
_space_group_name_H-M_alt 'P 4/m m m'
_space_group_IT_number 123
_space_group_name_Hall '-P 4 2'
loop_
_atom_site_label
_atom_site_type_symbol
_atom_site_fract_x
_atom_site_fract_y
_atom_site_fract_z
Mg1 Mg 0.000 0.000 0.000
Mg2 Mg 0.000 0.000 0.296
Ag1 Ag 0.500 0.500 0.147
Pb1 Pb 0.500 0.500 0.500
```